# 1
! SiRhN2, relaxed, DFT GGA-PBEsol; values from VASP
&SYSTEM
  ibrav = 0, nat = 4, ntyp = 3
/
ATOMIC_SPECIES
Si 28.09 Si.upf
Rh 102.91 Rh.upf
N 14.01 N.upf
CELL_PARAMETERS angstrom
1.482 0.856 5.708
-1.482 0.856 5.708
0.000 -1.711 5.708
ATOMIC_POSITIONS angstrom
Si 0.000 0.000 0.000
Rh 0.000 0.000 8.561
N 0.000 0.000 1.746
N 0.000 0.000 15.377
! **Size of the total moment**: 0.000 μB per cell
! **Energy relative to the elements, uncorrected**: 0.2093 eV per atom

=====

# 2
! KBaNa2, relaxed, DFT GGA-PBEsol; values from VASP
&SYSTEM
  ibrav = 0, nat = 4, ntyp = 3
/
ATOMIC_SPECIES
K 39.10 K.upf
Ba 137.33 Ba.upf
Na 22.99 Na.upf
CELL_PARAMETERS angstrom
0.000 4.629 4.629
4.629 0.000 4.629
4.629 4.629 0.000
ATOMIC_POSITIONS angstrom
K 0.000 0.000 0.000
Ba 4.629 4.629 4.629
Na 2.314 2.314 2.314
Na 6.943 6.943 6.943
! **Size of the total moment**: 0.000 μB per cell
! **ΔE to the lowest computed polymorph**: 0 meV per atom

=====

# 3
! Mg2TlRe2, relaxed, DFT GGA-PBEsol; values from VASP
&SYSTEM
  ibrav = 0, nat = 5, ntyp = 3
/
ATOMIC_SPECIES
Mg 24.30 Mg.upf
Tl 204.38 Tl.upf
Re 186.21 Re.upf
CELL_PARAMETERS angstrom
-1.929 1.929 6.494
1.929 -1.929 6.494
1.929 1.929 -6.494
ATOMIC_POSITIONS angstrom
Mg 1.929 0.000 3.247
Mg 0.000 1.929 3.247
Tl 0.000 0.000 0.000
Re 0.000 0.000 5.330
Re 0.000 0.000 7.658
! **Size of the total moment**: 0.393 μB per cell
! **VASP energy**: -5.390 eV/atom

=====

# 4
! BeH2S, relaxed, DFT GGA-PBEsol; values from VASP
&SYSTEM
  ibrav = 0, nat = 4, ntyp = 3
/
ATOMIC_SPECIES
Be 9.01 Be.upf
H 1.01 H.upf
S 32.06 S.upf
CELL_PARAMETERS angstrom
0.000 2.436 2.436
2.436 0.000 2.436
2.436 2.436 0.000
ATOMIC_POSITIONS angstrom
Be 0.000 0.000 0.000
H 1.218 1.218 1.218
H 3.654 3.654 3.654
S 2.436 2.436 2.436
! **Size of the total moment**: 0.000 μB per cell
! **VASP energy**: -3.008 eV/atom

=====

# 5
! BeCr2, relaxed, DFT GGA-PBEsol; values from VASP
&SYSTEM
  ibrav = 0, nat = 3, ntyp = 2
/
ATOMIC_SPECIES
Be 9.01 Be.upf
Cr 52.00 Cr.upf
CELL_PARAMETERS angstrom
3.933 0.000 0.000
0.000 3.933 0.000
0.000 0.000 2.184
ATOMIC_POSITIONS angstrom
Be 0.000 0.000 0.000
Cr 0.000 1.966 1.092
Cr 1.966 0.000 1.092
! **Size of the total moment**: 0.003 μB per cell
! **VASP energy**: -7.382 eV/atom

=====

# 6
! MnPdSCl2, relaxed, DFT GGA-PBEsol; values from VASP
&SYSTEM
  ibrav = 0, nat = 5, ntyp = 4
/
ATOMIC_SPECIES
Mn 54.94 Mn.upf
Pd 106.42 Pd.upf
S 32.06 S.upf
Cl 35.45 Cl.upf
CELL_PARAMETERS angstrom
4.530 0.000 0.000
0.000 4.530 0.000
0.000 0.000 4.668
ATOMIC_POSITIONS angstrom
Mn 0.000 0.000 0.000
Pd 2.265 2.265 2.334
S 0.000 0.000 2.334
Cl 0.000 2.265 0.000
Cl 2.265 0.000 0.000
! **Size of the total moment**: 2.975 μB per cell
! **Energy relative to the elements, uncorrected**: 0.0836 eV per atom

=====

# 7
! K2FeCl, relaxed, DFT GGA-PBEsol; values from VASP
&SYSTEM
  ibrav = 0, nat = 4, ntyp = 3
/
ATOMIC_SPECIES
K 39.10 K.upf
Fe 55.84 Fe.upf
Cl 35.45 Cl.upf
CELL_PARAMETERS angstrom
3.497 -1.969 0.000
3.497 1.969 0.000
-2.208 0.000 9.046
ATOMIC_POSITIONS angstrom
K 1.193 0.000 1.981
K 3.593 0.000 7.065
Fe -1.104 0.000 4.523
Cl 3.497 0.000 0.000
! **Size of the total moment**: 3.064 μB per cell
! **Energy relative to the elements, uncorrected**: 0.0010 eV per atom
! **ΔE to the lowest computed polymorph**: 0 meV per atom

=====

# 8
! Ca2Sb2Au, relaxed, DFT GGA-PBEsol; values from VASP
&SYSTEM
  ibrav = 0, nat = 5, ntyp = 3
/
ATOMIC_SPECIES
Ca 40.08 Ca.upf
Sb 121.76 Sb.upf
Au 196.97 Au.upf
CELL_PARAMETERS angstrom
-3.033 3.033 4.221
3.033 -3.033 4.221
3.033 3.033 -4.221
ATOMIC_POSITIONS angstrom
Ca 3.033 0.000 2.110
Ca 0.000 3.033 2.110
Sb 0.000 0.000 1.521
Sb 0.000 0.000 6.920
Au 0.000 0.000 4.221
! **Size of the total moment**: 0.000 μB per cell
! **Energy relative to the elements, uncorrected**: -0.4924 eV per atom

=====

# 9
! AgAsPt2, relaxed, DFT GGA-PBEsol; values from VASP
&SYSTEM
  ibrav = 0, nat = 4, ntyp = 3
/
ATOMIC_SPECIES
Ag 107.87 Ag.upf
As 74.92 As.upf
Pt 195.08 Pt.upf
CELL_PARAMETERS angstrom
4.433 -1.462 0.000
4.433 1.462 0.000
-0.943 0.000 4.856
ATOMIC_POSITIONS angstrom
Ag 0.000 0.000 0.000
As 3.961 0.000 2.428
Pt 1.477 0.000 3.599
Pt 6.445 0.000 1.257
! **Size of the total moment**: 0.000 μB per cell
! **VASP energy**: -5.587 eV/atom

=====

# 10
! Ba2Ag, relaxed, DFT GGA-PBEsol; values from VASP
&SYSTEM
  ibrav = 0, nat = 3, ntyp = 2
/
ATOMIC_SPECIES
Ba 137.33 Ba.upf
Ag 107.87 Ag.upf
CELL_PARAMETERS angstrom
4.742 0.000 0.000
-2.371 4.107 0.000
0.000 0.000 7.523
ATOMIC_POSITIONS angstrom
Ba 0.000 2.738 1.806
Ba 2.371 1.369 5.717
Ag 0.000 0.000 0.000
! **Size of the total moment**: 0.000 μB per cell
! **ΔE to the lowest computed polymorph**: 72 meV per atom

=====

# 11
! LiLa4W, relaxed, DFT GGA-PBEsol; values from VASP
&SYSTEM
  ibrav = 0, nat = 6, ntyp = 3
/
ATOMIC_SPECIES
Li 6.94 Li.upf
La 138.91 La.upf
W 183.84 W.upf
CELL_PARAMETERS angstrom
0.000 4.383 4.383
4.383 0.000 4.383
4.383 4.383 0.000
ATOMIC_POSITIONS angstrom
Li 0.000 0.000 0.000
La 5.463 3.303 3.303
La 3.303 5.463 3.303
La 3.303 3.303 5.463
La 5.463 5.463 5.463
W 2.191 2.191 2.191
! **Size of the total moment**: 0.792 μB per cell
! **VASP energy**: -5.170 eV/atom

=====

# 12
! ZnCo2MoW, relaxed, DFT GGA-PBEsol; values from VASP
&SYSTEM
  ibrav = 0, nat = 5, ntyp = 4
/
ATOMIC_SPECIES
Zn 65.41 Zn.upf
Co 58.93 Co.upf
Mo 95.94 Mo.upf
W 183.84 W.upf
CELL_PARAMETERS angstrom
4.332 0.000 0.000
0.000 4.332 0.000
0.000 0.000 4.685
ATOMIC_POSITIONS angstrom
Zn 0.000 0.000 0.000
Co 0.000 2.166 2.342
Co 2.166 0.000 2.342
Mo 2.166 2.166 2.342
W 2.166 2.166 0.000
! **Size of the total moment**: 1.629 μB per cell
! **VASP energy**: -6.740 eV/atom

=====

Among the records above, which one has the highest size of the total moment?
K2FeCl

=====

Number 11 is which compound?
LiLa4W

=====

What did the ninth record say?
! AgAsPt2, relaxed, DFT GGA-PBEsol; values from VASP
&SYSTEM
  ibrav = 0, nat = 4, ntyp = 3
/
ATOMIC_SPECIES
Ag 107.87 Ag.upf
As 74.92 As.upf
Pt 195.08 Pt.upf
CELL_PARAMETERS angstrom
4.433 -1.462 0.000
4.433 1.462 0.000
-0.943 0.000 4.856
ATOMIC_POSITIONS angstrom
Ag 0.000 0.000 0.000
As 3.961 0.000 2.428
Pt 1.477 0.000 3.599
Pt 6.445 0.000 1.257
! **Size of the total moment**: 0.000 μB per cell
! **VASP energy**: -5.587 eV/atom

=====

Number 8 is which compound?
Ca2Sb2Au